DFT (PBE) results for a relaxed SrSc2S crystal.

Calculated values
ΔE_f (raw) ... -0.096 eV/atom
E ... -4.7140 eV/atom

Cell lengths 10.975, 10.975, 10.975 Å; angles 19.68, 19.68, 19.68 degrees
Sites, in units of the cell vectors:
1 Sr 0.000 0.000 0.000
2 Sc 0.428 0.428 0.428
3 Sc 0.572 0.572 0.572
4 S 0.500 0.500 0.500